No. 1
Below is crystalline BeCoW2 at its relaxed geometry, with properties calculated at the GGA-PBE level.

```
BeCoW2
1.0
2.690 0.000 0.000
0.000 4.026 0.000
-0.852 0.000 4.761
Be Co W
1 1 2
Direct
0.000 0.000 0.000
0.060 0.500 0.263
0.424 0.500 0.806
0.660 0.000 0.479
```

Results
DFT formation energy, eV/atom: 0.060

No. 2
Below is crystalline LaRu2Pb at its relaxed geometry, with properties calculated at the GGA-PBE level.

```
LaRu2Pb
1.0
3.245 0.000 0.000
0.000 4.830 0.000
-1.358 0.000 5.357
La Ru Pb
1 2 1
Direct
0.000 0.000 0.000
0.266 0.500 0.710
0.605 0.000 0.557
0.611 0.500 0.292
```

Results
DFT formation energy, eV/atom: 0.198

No. 3
Below is crystalline RbCoC3 at its relaxed geometry, with properties calculated at the GGA-PBE level.

```
RbCoC3
1.0
4.332 0.000 0.000
0.000 4.332 0.000
0.000 0.000 4.332
Rb Co C
1 1 3
Direct
0.000 0.000 0.000
0.500 0.500 0.500
0.000 0.000 0.500
0.000 0.500 0.000
0.500 0.000 0.000
```

Results
DFT formation energy, eV/atom: 4.795
Energy relative to the lowest polymorph listed for this composition, meV/atom: 2546

No. 4
Below is crystalline Tl3CdSe2O8 at its relaxed geometry, with properties calculated at the GGA-PBE level.

```
Tl3CdSe2O8
1.0
6.153 0.000 0.000
-3.077 5.329 0.000
0.000 0.000 7.893
Tl Cd Se O
3 1 2 8
Direct
0.000 0.000 0.000
0.333 0.667 0.692
0.667 0.333 0.308
0.000 0.000 0.500
0.333 0.667 0.235
0.667 0.333 0.765
0.181 0.362 0.310
0.181 0.819 0.310
0.333 0.667 0.023
0.362 0.181 0.690
0.638 0.819 0.310
0.667 0.333 0.977
0.819 0.181 0.690
0.819 0.638 0.690
```

Results
ΔE_f (raw), eV/atom: -0.741

No. 5
Below is crystalline Ti2MnN at its relaxed geometry, with properties calculated at the GGA-PBE level.

```
Ti2MnN
1.0
1.468 0.848 6.704
-1.468 0.848 6.704
0.000 -1.695 6.704
Ti Mn N
2 1 1
Direct
0.108 0.108 0.108
0.892 0.892 0.892
0.000 0.000 0.000
0.500 0.500 0.500
```

Results
ΔE_f (raw), eV/atom: -0.568

No. 6
Below is crystalline LiFeCoGe at its relaxed geometry, with properties calculated at the GGA-PBE level.

```
LiFeCoGe
1.0
0.000 2.871 2.871
2.871 0.000 2.871
2.871 2.871 0.000
Li Fe Co Ge
1 1 1 1
Direct
0.000 0.000 0.000
0.750 0.750 0.750
0.500 0.500 0.500
0.250 0.250 0.250
```

Results
DFT formation energy, eV/atom: -0.175